(1)
The following is a PBE calculation of a geometry-optimized PmDy2Mg6 structure, from the Alexandria database.

a b c (Å): 3.302 9.106 9.106
angles (deg): 59.99 90.01 90.01
Positions (direct):
Mg 0.499 0.664 0.000
Mg 0.500 0.664 0.336
Dy 0.000 0.667 0.667
Mg 0.500 0.336 0.664
Mg 0.501 0.000 0.336
Pm 0.000 0.000 0.000
Mg 0.501 0.336 0.000
Mg 0.499 0.000 0.664
Dy 0.000 0.333 0.333

Output
Space group: P6/mmm, No. 191
V (Å³ per cell): 237.1
DFT total energy (eV/atom): -2.69
Formation energy from the elements (meV/atom): -80
Total magnetic moment (μB/f.u.): 0.00

=====

(2)
The following is a PBE calculation of a geometry-optimized Pm5DyMg6 structure, from the Alexandria database.

a b c (Å): 5.444 7.705 8.613
angles (deg): 90.00 71.58 90.00
Positions (direct):
Mg 0.835 0.247 0.330
Mg 0.835 0.753 0.330
Mg 0.500 0.248 0.000
Mg 0.165 0.247 0.670
Dy 0.000 0.000 0.000
Pm 0.668 0.500 0.664
Pm 0.335 0.000 0.331
Mg 0.500 0.752 0.000
Pm 0.665 0.000 0.669
Mg 0.165 0.753 0.670
Pm 0.000 0.500 0.000
Pm 0.332 0.500 0.336

Output
Space group: Cmmm, No. 65
V (Å³ per cell): 342.8
DFT total energy (eV/atom): -3.26
Formation energy from the elements (meV/atom): -103
Total magnetic moment (μB/f.u.): 0.00

=====

(3)
The following is a PBE calculation of a geometry-optimized Pm12DyMg3 structure, from the Alexandria database.

a b c (Å): 5.028 5.028 20.260
angles (deg): 90.00 90.00 90.00
Positions (direct):
Pm 0.000 0.500 0.128
Pm 0.500 0.000 0.624
Pm 0.500 0.000 0.376
Dy 0.000 0.000 0.000
Mg 0.000 0.000 0.500
Mg 0.000 0.000 0.254
Pm 0.000 0.500 0.872
Pm 0.500 0.500 0.747
Pm 0.500 0.500 0.253
Mg 0.000 0.000 0.746
Pm 0.000 0.500 0.376
Pm 0.500 0.000 0.872
Pm 0.500 0.000 0.128
Pm 0.500 0.500 0.000
Pm 0.500 0.500 0.500
Pm 0.000 0.500 0.624

Output
Space group: P4/mmm, No. 123
V (Å³ per cell): 512.2
DFT total energy (eV/atom): -4.14
Formation energy from the elements (meV/atom): 5
Total magnetic moment (μB/f.u.): 0.00

=====

(4)
The following is a PBE calculation of a geometry-optimized PmDy2Mg8 structure, from the Alexandria database.

a b c (Å): 5.059 7.309 8.410
angles (deg): 107.29 107.50 90.00
Positions (direct):
Dy 0.779 0.362 0.559
Mg 0.679 0.897 0.359
Dy 0.221 0.638 0.441
Mg 0.858 0.845 0.716
Mg 0.410 0.531 0.820
Mg 0.142 0.155 0.284
Mg 0.973 0.282 0.946
Pm 0.500 0.000 0.000
Mg 0.027 0.718 0.054
Mg 0.590 0.469 0.180
Mg 0.321 0.103 0.641

Output
Space group: C2/m, No. 12
V (Å³ per cell): 281.8
DFT total energy (eV/atom): -2.47
Formation energy from the elements (meV/atom): -43
Total magnetic moment (μB/f.u.): 0.00

=====

(5)
The following is a PBE calculation of a geometry-optimized Pm7Dy12Mg structure, from the Alexandria database.

a b c (Å): 8.736 8.736 8.736
angles (deg): 86.47 86.47 86.47
Positions (direct):
Pm 0.397 0.080 0.151
Dy 0.738 0.859 0.249
Dy 0.862 0.500 0.386
Pm 0.849 0.603 0.920
Dy 0.141 0.751 0.262
Pm 0.603 0.920 0.849
Dy 0.386 0.862 0.500
Dy 0.614 0.138 0.500
Dy 0.138 0.500 0.614
Pm 0.500 0.500 0.500
Pm 0.080 0.151 0.397
Dy 0.859 0.249 0.738
Dy 0.262 0.141 0.751
Dy 0.249 0.738 0.859
Dy 0.500 0.386 0.862
Mg 0.000 0.000 0.000
Dy 0.751 0.262 0.141
Dy 0.500 0.614 0.138
Pm 0.151 0.397 0.080
Pm 0.920 0.849 0.603

Output
Space group: R-3, No. 148
V (Å³ per cell): 663.1
DFT total energy (eV/atom): -4.30
Formation energy from the elements (meV/atom): 204
Total magnetic moment (μB/f.u.): 0.00

=====

(6)
The following is a PBE calculation of a geometry-optimized Pm2DyMg4 structure, from the Alexandria database.

a b c (Å): 5.461 6.043 7.309
angles (deg): 114.42 90.00 90.00
Positions (direct):
Pm 0.500 0.136 0.272
Pm 0.500 0.864 0.728
Mg 0.500 0.614 0.228
Mg 0.000 0.266 0.531
Mg 0.000 0.734 0.469
Mg 0.500 0.386 0.772
Dy 0.000 0.500 0.000

Output
Space group: Cmmm, No. 65
V (Å³ per cell): 219.6
DFT total energy (eV/atom): -2.57
Formation energy from the elements (meV/atom): 355
Total magnetic moment (μB/f.u.): 0.00

=====

(7)
The following is a PBE calculation of a geometry-optimized Pm12Dy6Mg structure, from the Alexandria database.

a b c (Å): 8.727 8.727 8.727
angles (deg): 97.40 97.40 97.40
Positions (direct):
Dy 0.137 0.407 0.136
Pm 0.831 0.418 0.418
Pm 0.418 0.831 0.418
Mg 0.000 0.000 0.000
Pm 0.261 0.001 0.739
Pm 0.582 0.582 0.169
Dy 0.407 0.136 0.137
Pm 0.739 0.999 0.261
Pm 0.418 0.418 0.831
Pm 0.739 0.261 0.001
Pm 0.169 0.582 0.582
Pm 0.582 0.169 0.582
Dy 0.863 0.593 0.864
Pm 0.001 0.739 0.261
Dy 0.864 0.863 0.593
Pm 0.999 0.261 0.739
Pm 0.261 0.739 0.999
Dy 0.136 0.137 0.407
Dy 0.593 0.864 0.863

Output
Space group: R-3, No. 148
V (Å³ per cell): 646.5
DFT total energy (eV/atom): -4.41
Formation energy from the elements (meV/atom): 131
Total magnetic moment (μB/f.u.): 0.00

=====

(8)
The following is a PBE calculation of a geometry-optimized Pm6Dy12Mg structure, from the Alexandria database.

a b c (Å): 8.672 8.672 8.672
angles (deg): 97.33 97.33 97.33
Positions (direct):
Dy 0.410 0.833 0.410
Dy 0.410 0.410 0.833
Pm 0.865 0.592 0.865
Mg 0.000 0.000 0.000
Dy 0.000 0.738 0.262
Dy 0.590 0.590 0.167
Dy 0.167 0.590 0.590
Dy 0.262 0.000 0.738
Pm 0.135 0.135 0.408
Dy 0.738 0.262 0.000
Pm 0.135 0.408 0.135
Dy 0.833 0.410 0.410
Dy 0.000 0.262 0.738
Dy 0.590 0.167 0.590
Pm 0.408 0.135 0.135
Pm 0.592 0.865 0.865
Dy 0.262 0.738 0.000
Dy 0.738 0.000 0.262
Pm 0.865 0.865 0.592

Output
Space group: R-3m, No. 166
V (Å³ per cell): 634.7
DFT total energy (eV/atom): -4.36
Formation energy from the elements (meV/atom): 133
Total magnetic moment (μB/f.u.): 0.00

=====

(9)
The following is a PBE calculation of a geometry-optimized Pm4DyMg5 structure, from the Alexandria database.

a b c (Å): 3.843 3.843 19.306
angles (deg): 90.00 90.00 90.00
Positions (direct):
Pm 0.000 0.000 0.803
Mg 0.500 0.500 0.298
Mg 0.500 0.500 0.702
Pm 0.000 0.000 0.399
Mg 0.500 0.500 0.500
Pm 0.000 0.000 0.601
Mg 0.500 0.500 0.096
Mg 0.500 0.500 0.904
Pm 0.000 0.000 0.197
Dy 0.000 0.000 0.000

Output
Space group: P4/mmm, No. 123
V (Å³ per cell): 285.1
DFT total energy (eV/atom): -3.26
Formation energy from the elements (meV/atom): -101
Total magnetic moment (μB/f.u.): 0.00

=====

(10)
The following is a PBE calculation of a geometry-optimized PmDy5Mg3 structure, from the Alexandria database.

a b c (Å): 7.298 7.298 12.075
angles (deg): 78.71 78.71 77.10
Positions (direct):
Mg 0.736 0.736 0.563
Dy 0.309 0.691 0.000
Pm 0.118 0.118 0.734
Dy 0.360 0.995 0.204
Mg 0.000 0.000 0.500
Dy 0.275 0.275 0.932
Dy 0.005 0.640 0.796
Dy 0.725 0.725 0.068
Mg 0.577 0.577 0.787
Pm 0.882 0.882 0.266
Dy 0.640 0.005 0.796
Mg 0.000 0.000 0.000
Dy 0.586 0.586 0.371
Mg 0.423 0.423 0.213
Dy 0.995 0.360 0.204
Dy 0.414 0.414 0.629
Dy 0.691 0.309 0.000
Mg 0.264 0.264 0.437

Output
Space group: C2/m, No. 12
V (Å³ per cell): 606.9
DFT total energy (eV/atom): -3.26
Formation energy from the elements (meV/atom): 359
Total magnetic moment (μB/f.u.): 0.00

=====

(11)
The following is a PBE calculation of a geometry-optimized Pm3Dy2Mg8 structure, from the Alexandria database.

a b c (Å): 5.856 5.856 12.981
angles (deg): 76.96 76.96 60.00
Positions (direct):
Pm 0.183 0.183 0.450
Mg 0.275 0.275 0.174
Mg 0.732 0.732 0.305
Dy 0.360 0.360 0.921
Mg 0.231 0.732 0.305
Mg 0.268 0.769 0.695
Mg 0.725 0.725 0.826
Pm 0.000 0.000 0.000
Mg 0.769 0.268 0.695
Mg 0.268 0.268 0.695
Mg 0.732 0.231 0.305
Dy 0.640 0.640 0.079
Pm 0.817 0.817 0.550

Output
Space group: R-3m, No. 166
V (Å³ per cell): 372.2
DFT total energy (eV/atom): -2.68
Formation energy from the elements (meV/atom): 108
Total magnetic moment (μB/f.u.): 0.01

=====

(12)
The following is a PBE calculation of a geometry-optimized PmDy5Mg6 structure, from the Alexandria database.

a b c (Å): 5.378 7.579 8.504
angles (deg): 90.00 71.63 90.00
Positions (direct):
Mg 0.167 0.252 0.664
Dy 0.335 0.500 0.331
Mg 0.500 0.748 0.000
Dy 0.667 0.000 0.664
Dy 0.000 0.500 0.000
Dy 0.665 0.500 0.669
Pm 0.000 0.000 0.000
Mg 0.167 0.748 0.664
Mg 0.500 0.252 0.000
Dy 0.333 0.000 0.336
Mg 0.833 0.252 0.336
Mg 0.833 0.748 0.336

Output
Space group: P2/m, No. 10
V (Å³ per cell): 328.9
DFT total energy (eV/atom): -3.19
Formation energy from the elements (meV/atom): -84
Total magnetic moment (μB/f.u.): 0.00

=====

(13)
The following is a PBE calculation of a geometry-optimized PmDy2Mg structure, from the Alexandria database.

a b c (Å): 5.122 5.122 9.908
angles (deg): 104.97 104.97 90.00
Positions (direct):
Dy 0.500 0.000 0.500
Dy 0.134 0.134 0.768
Mg 0.750 0.250 0.000
Dy 0.866 0.866 0.232
Dy 0.000 0.500 0.500
Mg 0.250 0.750 0.000
Pm 0.632 0.632 0.763
Pm 0.368 0.368 0.237

Output
Space group: I4/mmm, No. 139
V (Å³ per cell): 241.9
DFT total energy (eV/atom): -3.92
Formation energy from the elements (meV/atom): -31
Total magnetic moment (μB/f.u.): 0.00

=====

(14)
The following is a PBE calculation of a geometry-optimized Pm4Dy4Mg structure, from the Alexandria database.

a b c (Å): 5.044 7.950 7.950
angles (deg): 84.22 71.50 71.50
Positions (direct):
Pm 0.334 0.000 0.332
Dy 0.666 0.334 0.334
Dy 0.000 0.666 0.334
Mg 0.000 0.000 0.000
Pm 0.666 0.000 0.668
Pm 0.666 0.668 0.000
Dy 0.000 0.334 0.666
Dy 0.334 0.666 0.666
Pm 0.334 0.332 0.000

Output
Space group: I4/mmm, No. 139
V (Å³ per cell): 286.7
DFT total energy (eV/atom): -4.32
Formation energy from the elements (meV/atom): 17
Total magnetic moment (μB/f.u.): 0.00

=====

(15)
The following is a PBE calculation of a geometry-optimized Pm8Dy5Mg structure, from the Alexandria database.

a b c (Å): 8.140 8.945 8.140
angles (deg): 113.16 101.50 109.59
Positions (direct):
Pm 0.192 0.776 0.057
Pm 0.070 0.705 0.424
Dy 0.325 0.144 0.940
Pm 0.719 0.295 0.365
Pm 0.738 0.423 0.875
Dy 0.849 0.785 0.742
Mg 0.382 0.500 0.882
Pm 0.281 0.224 0.416
Dy 0.524 0.000 0.524
Dy 0.797 0.856 0.181
Pm 0.484 0.837 0.818
Dy 0.957 0.215 0.064
Pm 0.452 0.577 0.315
Pm 0.981 0.163 0.646

Output
Space group: C2, No. 5
V (Å³ per cell): 474.4
DFT total energy (eV/atom): -4.28
Formation energy from the elements (meV/atom): 190
Total magnetic moment (μB/f.u.): 0.00

=====

(16)
The following is a PBE calculation of a geometry-optimized PmDyMg5 structure, from the Alexandria database.

a b c (Å): 5.812 5.812 6.665
angles (deg): 100.73 100.73 113.59
Positions (direct):
Mg 0.085 0.508 0.773
Dy 0.500 0.500 0.500
Mg 0.508 0.085 0.773
Mg 0.492 0.915 0.227
Pm 0.000 0.000 0.000
Mg 0.915 0.492 0.227
Mg 0.000 0.000 0.500

Output
Space group: C2/m, No. 12
V (Å³ per cell): 194.0
DFT total energy (eV/atom): -2.38
Formation energy from the elements (meV/atom): 100
Total magnetic moment (μB/f.u.): 0.00

=====

(17)
The following is a PBE calculation of a geometry-optimized Pm6Dy3Mg structure, from the Alexandria database.

a b c (Å): 3.556 7.356 29.208
angles (deg): 89.13 96.80 61.09
Positions (direct):
Pm 0.114 0.774 0.897
Pm 0.814 0.991 0.301
Pm 0.186 0.009 0.699
Pm 0.354 0.351 0.202
Dy 0.194 0.503 0.700
Pm 0.636 0.772 0.408
Pm 0.385 0.719 0.604
Pm 0.125 0.276 0.906
Pm 0.646 0.649 0.798
Dy 0.349 0.853 0.199
Dy 0.651 0.147 0.801
Dy 0.000 0.000 0.500
Mg 0.500 0.500 0.500
Mg 0.000 0.000 0.000
Dy 0.806 0.497 0.300
Pm 0.615 0.281 0.396
Pm 0.875 0.724 0.094
Dy 0.500 0.500 0.000
Pm 0.886 0.226 0.103
Pm 0.364 0.228 0.592

Output
Space group: P-1, No. 2
V (Å³ per cell): 661.8
DFT total energy (eV/atom): -4.31
Formation energy from the elements (meV/atom): 76
Total magnetic moment (μB/f.u.): 0.00

=====

(18)
The following is a PBE calculation of a geometry-optimized PmDy2Mg structure, from the Alexandria database.

a b c (Å): 3.637 3.637 9.120
angles (deg): 90.00 90.00 90.00
Positions (direct):
Dy 0.000 0.000 0.228
Pm 0.500 0.500 0.500
Dy 0.000 0.000 0.772
Mg 0.500 0.500 0.000

Output
Space group: P4/mmm, No. 123
V (Å³ per cell): 120.7
DFT total energy (eV/atom): -3.92
Formation energy from the elements (meV/atom): -29
Total magnetic moment (μB/f.u.): 0.00

=====

(19)
The following is a PBE calculation of a geometry-optimized PmDy2Mg9 structure, from the Alexandria database.

a b c (Å): 6.045 6.045 10.367
angles (deg): 73.05 73.05 60.00
Positions (direct):
Mg 0.666 0.666 0.002
Mg 0.413 0.920 0.253
Mg 0.920 0.413 0.253
Mg 0.587 0.080 0.747
Mg 0.334 0.334 0.998
Mg 0.080 0.587 0.747
Mg 0.413 0.413 0.253
Dy 0.856 0.856 0.431
Dy 0.144 0.144 0.569
Mg 0.500 0.500 0.500
Mg 0.587 0.587 0.747
Pm 0.000 0.000 0.000

Output
Space group: R-3m, No. 166
V (Å³ per cell): 308.9
DFT total energy (eV/atom): -2.41
Formation energy from the elements (meV/atom): -48
Total magnetic moment (μB/f.u.): 0.00

=====

(20)
The following is a PBE calculation of a geometry-optimized PmDyMg17 structure, from the Alexandria database.

a b c (Å): 7.792 7.792 7.792
angles (deg): 82.14 82.14 82.14
Positions (direct):
Mg 0.353 0.842 0.353
Dy 0.329 0.329 0.329
Mg 0.842 0.353 0.353
Mg 0.100 0.100 0.100
Pm 0.670 0.670 0.670
Mg 0.302 0.697 0.001
Mg 0.162 0.646 0.646
Mg 0.302 0.001 0.697
Mg 0.998 0.998 0.502
Mg 0.646 0.162 0.646
Mg 0.502 0.998 0.998
Mg 0.998 0.502 0.998
Mg 0.902 0.902 0.902
Mg 0.697 0.001 0.302
Mg 0.697 0.302 0.001
Mg 0.001 0.697 0.302
Mg 0.646 0.646 0.162
Mg 0.001 0.302 0.697
Mg 0.353 0.353 0.842

Output
Space group: R3m, No. 160
V (Å³ per cell): 460.9
DFT total energy (eV/atom): -1.95
Formation energy from the elements (meV/atom): -31
Total magnetic moment (μB/f.u.): 0.00